<A>
VASP calculation (PBE) on a relaxed Y2NbZnN crystal.

Values from the calculation:
Total moment ... 0.778 μB/f.u.
Crystal system ... tetragonal

Unit cell a=4.824 b=4.824 c=4.215 alpha=90.00 beta=90.00 gamma=90.00
Sites, in units of the cell vectors:
1 Y 0.000 0.500 0.000
2 Y 0.500 0.000 0.000
3 Nb 0.000 0.000 0.500
4 Zn 0.500 0.500 0.500
5 N 0.000 0.000 0.000

<B>
VASP calculation (PBE) on a relaxed Y2NbZnN crystal.

Values from the calculation:
Total moment ... 1.873 μB/f.u.
Crystal system ... tetragonal

Unit cell a=5.363 b=5.363 c=4.898 alpha=90.00 beta=90.00 gamma=90.00
Sites, in units of the cell vectors:
1 Y 0.000 0.500 0.000
2 Y 0.500 0.000 0.000
3 Nb 0.000 0.000 0.000
4 Zn 0.000 0.000 0.500
5 N 0.500 0.500 0.500

Quick one: least stable of them? <B>

<A>
VASP calculation (PBE) on a relaxed NbZn3N crystal.

Values from the calculation:
Total moment ... 0.000 μB/f.u.
Crystal system ... cubic

Unit cell a=5.045 b=5.045 c=5.045 alpha=90.00 beta=90.00 gamma=90.00
Sites, in units of the cell vectors:
1 Nb 0.000 0.000 0.000
2 Zn 0.000 0.500 0.000
3 Zn 0.000 0.000 0.500
4 Zn 0.500 0.000 0.000
5 N 0.500 0.500 0.500

<B>
VASP calculation (PBE) on a relaxed NbZn3N crystal.

Values from the calculation:
Total moment ... 0.681 μB/f.u.
Crystal system ... cubic

Unit cell a=4.170 b=4.170 c=4.170 alpha=90.00 beta=90.00 gamma=90.00
Sites, in units of the cell vectors:
1 Nb 0.500 0.500 0.500
2 Zn 0.000 0.500 0.000
3 Zn 0.000 0.000 0.500
4 Zn 0.500 0.000 0.000
5 N 0.000 0.000 0.000

Quick one: least stable of them? <A>

<A>
VASP calculation (PBE) on a relaxed Nb2ZnN2 crystal.

Values from the calculation:
Total moment ... 0.000 μB/f.u.
Crystal system ... tetragonal

Unit cell a=3.782 b=3.782 c=5.450 alpha=69.70 beta=69.70 gamma=90.00
Sites, in units of the cell vectors:
1 Nb 0.349 0.349 0.302
2 Nb 0.651 0.651 0.698
3 Zn 0.000 0.000 0.000
4 N 0.750 0.250 0.500
5 N 0.250 0.750 0.500

<B>
VASP calculation (PBE) on a relaxed Nb2ZnN2 crystal.

Values from the calculation:
Total moment ... 0.000 μB/f.u.
Crystal system ... tetragonal

Unit cell a=6.562 b=6.562 c=2.845 alpha=90.00 beta=90.00 gamma=90.00
Sites, in units of the cell vectors:
1 Nb 0.354 0.854 0.000
2 Nb 0.854 0.646 0.000
3 Nb 0.646 0.146 0.000
4 Nb 0.146 0.354 0.000
5 Zn 0.000 0.000 0.000
6 Zn 0.500 0.500 0.000
7 N 0.135 0.635 0.500
8 N 0.635 0.865 0.500
9 N 0.865 0.365 0.500
10 N 0.365 0.135 0.500

Quick one: least stable of them? <B>

<A>
VASP calculation (PBE) on a relaxed ZrNbN crystal.

Values from the calculation:
Total moment ... 0.000 μB/f.u.
Crystal system ... trigonal

Unit cell a=5.089 b=3.209 c=3.209 alpha=120.00 beta=90.00 gamma=90.00
Sites, in units of the cell vectors:
1 Nb 0.246 0.333 0.667
2 Zr 0.748 0.667 0.333
3 N 0.006 0.000 0.000

<B>
VASP calculation (PBE) on a relaxed ZrNbN crystal.

Values from the calculation:
Total moment ... 0.000 μB/f.u.
Crystal system ... orthorhombic

Unit cell a=3.714 b=3.714 c=6.725 alpha=90.00 beta=90.00 gamma=84.30
Sites, in units of the cell vectors:
1 N 0.233 0.733 0.805
2 N 0.733 0.233 0.195
3 Zr 0.346 0.846 0.141
4 Zr 0.846 0.346 0.859
5 Nb 0.931 0.931 0.500
6 Nb 0.431 0.431 0.500

<C>
VASP calculation (PBE) on a relaxed ZrNbN crystal.

Values from the calculation:
Total moment ... 0.000 μB/f.u.
Crystal system ... tetragonal

Unit cell a=3.340 b=3.340 c=7.931 alpha=90.00 beta=90.00 gamma=90.00
Sites, in units of the cell vectors:
1 Zr 0.750 0.250 0.143
2 Zr 0.250 0.750 0.857
3 Nb 0.750 0.250 0.587
4 Nb 0.250 0.750 0.413
5 N 0.250 0.750 0.139
6 N 0.750 0.250 0.861

Quick one: least stable of them? <B>

<A>
VASP calculation (PBE) on a relaxed ZrNb2N4 crystal.

Values from the calculation:
Total moment ... 0.000 μB/f.u.
Crystal system ... orthorhombic

Unit cell a=3.063 b=5.286 c=10.421 alpha=90.00 beta=90.00 gamma=106.84
Sites, in units of the cell vectors:
1 Zr 0.623 0.246 0.750
2 Zr 0.377 0.754 0.250
3 Nb 0.129 0.258 0.430
4 Nb 0.871 0.742 0.930
5 Nb 0.129 0.258 0.070
6 Nb 0.871 0.742 0.570
7 N 0.774 0.549 0.122
8 N 0.774 0.549 0.378
9 N 0.226 0.451 0.878
10 N 0.226 0.451 0.622
11 N 0.963 0.926 0.750
12 N 0.037 0.074 0.250
13 N 0.500 0.000 0.000
14 N 0.500 0.000 0.500

<B>
VASP calculation (PBE) on a relaxed ZrNb2N4 crystal.

Values from the calculation:
Total moment ... 0.633 μB/f.u.
Crystal system ... tetragonal

Unit cell a=4.236 b=4.236 c=6.171 alpha=69.93 beta=69.93 gamma=90.00
Sites, in units of the cell vectors:
1 Nb 0.372 0.372 0.256
2 Nb 0.628 0.628 0.744
3 Zr 0.000 0.000 0.000
4 N 0.207 0.207 0.585
5 N 0.793 0.793 0.415
6 N 0.000 0.500 0.000
7 N 0.500 0.000 0.000

Quick one: least stable of them? <B>

<A>
VASP calculation (PBE) on a relaxed NdN4 crystal.

Values from the calculation:
Total moment ... 9.000 μB/f.u.
Crystal system ... cubic

Unit cell a=4.854 b=4.854 c=4.854 alpha=90.00 beta=90.00 gamma=90.00
Sites, in units of the cell vectors:
1 Nd 0.500 0.500 0.500
2 N 0.000 0.000 0.000
3 N 0.500 0.000 0.500
4 N 0.000 0.500 0.500
5 N 0.500 0.500 0.000

<B>
VASP calculation (PBE) on a relaxed NdN4 crystal.

Values from the calculation:
Total moment ... 0.000 μB/f.u.
Crystal system ... triclinic

Unit cell a=4.076 b=6.772 c=7.817 alpha=120.82 beta=82.72 gamma=120.16
Sites, in units of the cell vectors:
1 Nd 0.530 0.196 0.647
2 Nd 0.309 0.411 0.318
3 N 0.747 0.628 0.673
4 N 0.994 0.080 0.401
5 N 0.115 0.421 0.881
6 N 0.821 0.911 0.454
7 N 0.706 0.171 0.090
8 N 0.326 0.488 0.013
9 N 0.493 0.110 0.962
10 N 0.960 0.585 0.560

Quick one: least stable of them? <A>